Entry 1:
## Pd4SeS2 (PBE)

Data for a geometry-optimized Pd4SeS2 structure.

Geometry as POSCAR:
```
Pd4SeS2
1.0
-1.0049 4.0166 2.3990
-2.4825 1.6220 -3.7556
-6.8100 0.2216 1.5487
Pd Se S
4 1 2
Cartesian
-4.7577 1.2739 0.6466
-0.5025 2.0083 1.1995
-5.5398 4.5863 -0.4544
-1.2413 0.8110 -1.8778
0.0000 0.0000 0.0000
-7.3919 3.6366 0.3597
-2.9055 2.2236 -0.1676
```

Theoretical density, g cm⁻³: 6.7
Raw total energy, eV per atom: -4.3883



Entry 2:
## LuZrPd (PBE)

Data for a geometry-optimized LuZrPd structure.

Geometry as POSCAR:
```
LuZrPd
1.0
-1.7825 2.6033 1.3088
-1.3379 -2.0942 2.3435
5.7592 0.8976 1.6007
Lu Pd Zr
1 1 1
Cartesian
2.6920 0.7387 2.1970
-0.1951 0.6291 2.9402
0.1419 0.0389 0.1158
```

Theoretical density, g cm⁻³: 9.6
Raw total energy, eV per atom: -6.5669



Entry 3:
## CsNaIn2Cl8 (PBE)

Data for a geometry-optimized CsNaIn2Cl8 structure.

Geometry as POSCAR:
```
CsNaIn2Cl8
1.0
-4.1525 -5.3924 0.8283
2.0242 -5.3332 3.8035
-4.5787 0.6255 9.4933
Cl In Na Cs
8 2 1 1
Cartesian
-3.9993 -5.3995 10.8966
-3.4384 -8.1553 4.6985
-6.6101 -3.6614 8.7073
-2.7077 -4.7005 3.2285
-3.2685 -1.9447 9.4267
-0.0968 -6.4386 5.4179
-4.1219 -8.5611 8.7278
-2.5850 -1.5389 5.3974
-1.6349 -2.5704 3.4453
-5.0721 -7.5296 10.6799
0.0000 0.0000 0.0000
-3.3535 -5.0500 7.0626
```

Theoretical density, g cm⁻³: 2.8
Raw total energy, eV per atom: -3.2574



Entry 4:
## Pr4TlPb (PBE)

Data for a geometry-optimized Pr4TlPb structure.

Geometry as POSCAR:
```
Pr4TlPb
1.0
5.3498 0.7181 0.4172
2.0327 5.0003 0.4172
1.8549 1.4367 9.0157
Pb Tl Pr
1 1 4
Cartesian
4.6187 3.5776 4.9251
0.0000 0.0000 0.0000
2.0787 1.6099 5.7681
4.8486 3.7557 1.5950
4.3888 3.3994 8.2552
7.1587 5.5452 4.0821
```

Theoretical density, g cm⁻³: 7.3
Raw total energy, eV per atom: -4.3659



Entry 5:
## TbYSc2 (PBE)

Data for a geometry-optimized TbYSc2 structure.

Geometry as POSCAR:
```
TbYSc2
1.0
3.4560 0.0000 0.0000
1.7280 2.9930 0.0000
1.7280 0.9977 10.9253
Sc Y Tb
2 1 1
Cartesian
1.7280 0.9977 2.7432
1.7280 0.9977 8.1841
3.4560 1.9953 0.0135
3.4560 1.9953 5.4470
```

Theoretical density, g cm⁻³: 5.0
Raw total energy, eV per atom: -5.8792



Entry 6:
## Tm6RhSe3S2 (PBE)

Data for a geometry-optimized Tm6RhSe3S2 structure.

Geometry as POSCAR:
```
Tm6RhSe3S2
1.0
-2.3979 -3.0558 0.3818
6.3709 -4.8997 0.7973
-0.6064 3.9696 8.0145
Tm Se S Rh
6 3 2 1
Cartesian
4.5578 -2.7903 6.2928
1.5397 -0.4894 5.7538
1.9089 -2.8709 8.9615
1.8270 -3.4964 3.4398
1.4578 -1.1149 0.2320
-1.1911 -1.1955 2.9007
-1.2997 -0.7576 5.7240
4.6664 -3.2282 3.4695
1.9865 -3.9777 0.5895
1.8246 -3.1571 6.1405
1.5421 -0.8287 3.0531
-1.1989 -1.5279 0.1909
```

Theoretical density, g cm⁻³: 8.8
Raw total energy, eV per atom: -6.0419



Entry 7:
## Ag2Pd2Se (PBE)

Data for a geometry-optimized Ag2Pd2Se structure.

Geometry as POSCAR:
```
Ag2Pd2Se
1.0
-1.4750 -4.0893 4.9149
6.3085 -1.7513 0.4361
0.6778 3.1432 2.8186
Pd Ag Se
4 4 2
Cartesian
2.8800 -4.6043 4.4420
0.0082 -2.9456 3.2829
1.9535 -1.2363 0.9090
4.8254 -2.8950 2.0681
4.2307 -0.1953 2.4439
0.7891 -0.1163 3.1833
4.7222 -2.5811 4.9863
1.2806 -2.5021 5.7257
0.0000 0.0000 0.0000
2.4168 -2.9203 2.6755
```

Theoretical density, g cm⁻³: 9.2
Raw total energy, eV per atom: -3.9337



Entry 8:
## AcAgP2O6 (PBE)

Data for a geometry-optimized AcAgP2O6 structure.

Geometry as POSCAR:
```
AcAgP2O6
1.0
-2.3897 5.3462 -2.8331
-0.6564 0.2370 -6.4677
-4.9741 0.2736 -2.7567
O P Ag Ac
6 2 1 1
Cartesian
-5.2072 4.0045 -4.0538
-2.6963 2.4497 -3.8989
-3.9052 0.4088 -5.6651
-4.1150 5.4480 -6.3925
-2.8130 1.8523 -8.0038
-5.3239 3.4071 -8.1586
-2.5850 1.2316 -2.9640
-5.4352 4.6252 -9.0935
0.0000 0.0000 0.0000
-4.0101 2.9284 -6.0288
```

Theoretical density, g cm⁻³: 5.2
Raw total energy, eV per atom: -6.7055



Entry 9:
## LiHo2In2 (PBE)

Data for a geometry-optimized LiHo2In2 structure.

Geometry as POSCAR:
```
LiHo2In2
1.0
-0.9491 2.8363 1.3626
-6.1236 -3.1692 2.3315
4.9144 -2.7564 9.1606
Ho In Li
4 4 2
Cartesian
-2.9908 -2.5943 3.3169
0.5875 -1.2994 3.1140
-1.7968 -4.6262 8.3781
1.7816 -3.3314 8.1753
1.1424 -0.7443 6.3087
-3.3007 -2.3451 6.5460
-0.1101 -3.3437 10.8471
-2.0482 0.2544 2.0077
0.0000 0.0000 0.0000
-0.6046 -2.9628 5.7461
```

Theoretical density, g cm⁻³: 7.3
Raw total energy, eV per atom: -3.5338



Entry 10:
## HfAlSi (PBE)

Data for a geometry-optimized HfAlSi structure.

Geometry as POSCAR:
```
HfAlSi
1.0
-1.3952 -3.6094 0.2311
2.2722 -1.0674 -2.9539
9.7375 -3.2101 8.6501
Si Hf Al
4 4 4
Cartesian
8.4219 -2.7764 7.4814
6.6229 -4.3772 4.1323
3.9916 -3.5098 1.7949
1.3156 -0.4337 1.1687
8.5477 -5.0117 5.8422
2.0668 -2.8752 0.0851
3.2404 -1.0683 2.8786
6.4971 -2.1419 5.7715
1.1361 -0.5337 -1.4770
4.1712 -3.4098 4.4406
6.0048 -2.1388 2.8481
-0.6976 -1.8047 0.1156
```

Theoretical density, g cm⁻³: 7.7
Raw total energy, eV per atom: -6.8167